VASP calculation (PBE-GGA) on BaHf2Pt2 after structural relaxation.

For the energy of formation from the pure elements, the calculation gives -531.3 meV per atom. The density of states at the Fermi level is 7.2 states/eV per cell.

The space group is P4/mbm (No. 127) and the conventional cell measures 8.244, 8.244 and 3.199 Å, with angles of 90.00, 90.00 and 90.00 degrees. The inequivalent atoms are Ba at (0.000, 0.000, 0.000), Hf at (0.142, 0.358, 0.000) and Pt at (0.142, 0.642, 0.500).